1.
## LiPd4Pt3 (GGA-PBE)

Data for an optimized crystal structure of LiPd4Pt3.

Output
**DFT formation energy**: -0.57 eV per formula unit
**Calculated total energy**: -5.172 eV per atom

Cell lengths 2.705, 8.447, 10.853 Å; angles 90.00, 90.00, 90.00 degrees
Space group Immm (No. 71)
Symmetry-distinct sites (fractional):
Li 0.000 0.000 0.000
Pd 0.000 0.265 0.128
Pt 0.000 0.000 0.500
Pt 0.000 0.500 0.294

=====

2.
## MnBeSi2 (GGA-PBE)

Data for an optimized crystal structure of MnBeSi2.

Output
**Calculated total energy**: -5.830 eV per atom

Cell lengths 3.446, 3.778, 7.112 Å; angles 90.00, 90.00, 90.00 degrees
Space group Cmmm (No. 65)
Symmetry-distinct sites (fractional):
Mn 0.000 0.000 0.000
Be 0.000 0.000 0.500
Si 0.000 0.500 0.248

=====

3.
## KTaTe2 (GGA-PBE)

Data for an optimized crystal structure of KTaTe2.

Output
**Calculated total energy**: -4.544 eV per atom

Cell lengths 5.419, 5.419, 3.488 Å; angles 90.00, 90.00, 90.00 degrees
Space group P4/mmm (No. 123)
Symmetry-distinct sites (fractional):
K 0.000 0.000 0.000
Ta 0.500 0.500 0.000
Te 0.000 0.500 0.500